The following is a DFT calculation (GGA-PBE) of an optimized crystal structure of SrBe2Pb.

```
data_SrBe2Pb
_chemical_formula_sum 'Sr1 Be2 Pb1'
_space_group_name_H-M_alt 'P 4/m m m'
_space_group_IT_number 123
_space_group_name_Hall '-P 4 2'
_cell_length_a 3.672
_cell_length_b 3.672
_cell_length_c 6.771
_cell_angle_alpha 90.00
_cell_angle_beta 90.00
_cell_angle_gamma 90.00
loop_
_atom_site_label
_atom_site_type_symbol
_atom_site_fract_x
_atom_site_fract_y
_atom_site_fract_z
Sr1 Sr 0.000 0.000 0.000
Be1 Be 0.500 0.500 0.328
Pb1 Pb 0.000 0.000 0.500
```

Calculated values
**Raw total energy**: -2.707 eV per atom
**Crystal system**: tetragonal
**Formation enthalpy at 0 K**: 2.0 eV/f.u.
**DOS at the Fermi energy**: 0.57 states/eV/atom